A plane-wave DFT calculation with GGA-PBEsol was carried out for an optimized crystal structure of SrTl2Ru.

* crystal system: orthorhombic
* E_tot: -4.1290 eV/atom

The structure in POSCAR format:
```
SrTl2Ru
1.0
-1.1413 0.5861 3.1953
0.9684 -5.1423 1.2891
4.9129 3.5602 -0.7534
Ru Sr Tl
1 1 2
Direct
0.5000 0.0000 0.0000
0.0000 0.5000 0.0000
0.7927 0.7927 0.5855
0.2073 0.2073 0.4145
```